No. 1
Entry from the Alexandria database: crystalline RbSeI4 at its relaxed geometry (PBE-GGA).

The uncorrected formation energy is -414 meV/atom. The calculation puts the energy above the most stable polymorph in this dataset at 0 meV/atom.

The space group is I-4 (No. 82) and the conventional cell measures 9.251, 9.251 and 7.735 Å, with angles of 90.00, 90.00 and 90.00 degrees. The distinct sites, in fractional coordinates, are Rb at (0.000, 0.000, 0.000), Se at (0.000, 0.500, 0.750) and I at (0.213, 0.286, 0.749).

***

No. 2
Entry from the Alexandria database: crystalline AcTl2OsO8 at its relaxed geometry (PBE-GGA).

The uncorrected formation energy is -1259 meV/atom.

The space group is P-1 (No. 2) and the conventional cell measures 5.054, 5.290 and 7.061 Å, with angles of 83.59, 86.82 and 89.23 degrees. The distinct sites, in fractional coordinates, are Ac at (0.000, 0.000, 0.000), Tl at (0.467, 0.453, 0.249), Os at (0.000, 0.000, 0.500), O at (0.134, 0.781, 0.708), O at (0.169, 0.815, 0.317), O at (0.299, 0.219, 0.498) and O at (0.376, 0.276, 0.974).

***

No. 3
Entry from the Alexandria database: crystalline CaMg3Se at its relaxed geometry (PBE-GGA).

The uncorrected formation energy is -99 meV/atom. The calculation puts the energy above the most stable polymorph in this dataset at 0 meV/atom.

The space group is Pm-3m (No. 221) and the conventional cell measures 5.266, 5.266 and 5.266 Å, with angles of 90.00, 90.00 and 90.00 degrees. The distinct sites, in fractional coordinates, are Ca at (0.000, 0.000, 0.000), Mg at (0.000, 0.500, 0.500) and Se at (0.500, 0.500, 0.500).

***

No. 4
Entry from the Alexandria database: crystalline Ca3Pb2Au4 at its relaxed geometry (PBE-GGA).

Its calculated formation energy is -489 kJ/mol of formula units.

The space group is C2/m (No. 12) and the conventional cell measures 10.404, 4.740 and 10.216 Å, with angles of 90.00, 118.71 and 90.00 degrees. The distinct sites, in fractional coordinates, are Ca at (0.000, 0.000, 0.000), Ca at (0.186, 0.500, 0.622), Pb at (0.038, 0.500, 0.226), Au at (0.017, 0.000, 0.374) and Au at (0.232, 0.500, 0.080).

***

No. 5
Entry from the Alexandria database: crystalline YTcN2 at its relaxed geometry (PBE-GGA).

The uncorrected formation energy is 133 meV/atom. The calculation puts the energy above the most stable polymorph in this dataset at 1001 meV/atom.

The space group is R-3m (No. 166, hexagonal axes) and the conventional cell measures 3.3301, 3.3301 and 18.3859 Å, with angles of 90.00, 90.00 and 120.00 degrees. The distinct sites, in fractional coordinates, are Y at (0.0000, 0.0000, 0.0000), Tc at (0.0000, 0.0000, 0.5000) and N at (0.0000, 0.0000, 0.1207).

***

No. 6
Entry from the Alexandria database: crystalline Y2Al4Zn3Ag at its relaxed geometry (PBE-GGA).

Its calculated formation energy is -355 kJ/mol of formula units.

The space group is P-4m2 (No. 115) and the conventional cell measures 4.183, 4.183 and 10.855 Å, with angles of 90.00, 90.00 and 90.00 degrees. The distinct sites, in fractional coordinates, are Y at (0.000, 0.500, 0.245), Al at (0.000, 0.000, 0.000), Al at (0.000, 0.500, 0.638), Al at (0.500, 0.500, 0.000), Zn at (0.000, 0.500, 0.862), Zn at (0.500, 0.500, 0.500) and Ag at (0.000, 0.000, 0.500).